No. 1
Below is SrLa2Si after structural relaxation, with properties calculated at the GGA-PBE level.

The structure belongs to space group Immm (No. 71); the cell edges are 4.0697, 5.5229 and 11.8891 Å and the angles 90.00°, 90.00° and 90.00°. The asymmetric unit holds Sr at (0.0000, 0.0000, 0.0000), La at (0.0000, 0.5000, 0.1953) and Si at (0.0000, 0.0000, 0.5000).

For the formation energy (no corrections), the calculation gives -0.191 eV per atom. The density of states at the Fermi level is 8.98 states/eV per cell. As for the uncorrected energy: -4.43 eV/atom.

=====

No. 2
Below is PmPrSnPt after structural relaxation, with properties calculated at the GGA-PBE level.

The structure belongs to space group F-43m (No. 216); the cell edges are 7.5205, 7.5205 and 7.5205 Å and the angles 90.00°, 90.00° and 90.00°. The asymmetric unit holds Pm at (0.0000, 0.0000, 0.0000), Pr at (0.0000, 0.0000, 0.5000), Sn at (0.2500, 0.2500, 0.7500) and Pt at (0.2500, 0.2500, 0.2500).

Its energy of formation is -770 meV per atom. The density of states at the Fermi level is 6.07 states/eV per cell. As for the uncorrected energy: -5.66 eV/atom.

=====

No. 3
Below is Be2BS after structural relaxation, with properties calculated at the GGA-PBE level.

The structure belongs to space group P1 (No. 1); the cell edges are 3.4644, 3.5720 and 8.7381 Å and the angles 79.26°, 84.63° and 61.13°. The asymmetric unit holds Be at (0.0000, 0.0000, 0.0000), Be at (0.0017, 0.3062, 0.3398), Be at (0.3373, 0.5024, 0.6632), Be at (0.4976, 0.3682, 0.2015), B at (0.0003, 0.8540, 0.2420), B at (0.4996, 0.8413, 0.2567), S at (0.0074, 0.1972, 0.5878) and S at (0.3262, 0.3825, 0.9143).

Its energy above the most stable polymorph in this dataset is 0.007 eV/f.u. For the formation energy (no corrections), the calculation gives -0.351 eV per atom. The density of states at the Fermi level is 0.08 states/eV per cell. As for the uncorrected energy: -4.92 eV/atom.

=====

No. 4
Below is ZnSi2Tc after structural relaxation, with properties calculated at the GGA-PBE level.

The structure belongs to space group Pmmm (No. 47); the cell edges are 3.2866, 3.9103 and 4.2849 Å and the angles 90.00°, 90.00° and 90.00°. The asymmetric unit holds Zn at (0.0000, 0.0000, 0.0000), Si at (0.0000, 0.5000, 0.5000), Si at (0.5000, 0.5000, 0.0000) and Tc at (0.5000, 0.0000, 0.5000).

Its energy above the most stable polymorph in this dataset is 1.125 eV/f.u. For the formation energy (no corrections), the calculation gives 0.170 eV per atom. The density of states at the Fermi level is 1.63 states/eV per cell. As for the uncorrected energy: -5.45 eV/atom.

=====

No. 5
Below is Ac6NiPb3 after structural relaxation, with properties calculated at the GGA-PBE level.

The structure belongs to space group Cmc2_1 (No. 36); the cell edges are 12.8032, 16.0805 and 8.0157 Å and the angles 90.00°, 90.00° and 90.00°. The asymmetric unit holds Ac at (0.0000, 0.0049, 0.0000), Ac at (0.0000, 0.2357, 0.5645), Ac at (0.1529, 0.2448, 0.0936), Ac at (0.1607, 0.4696, 0.5661), Ni at (0.0000, 0.1379, 0.2569), Pb at (0.0000, 0.3839, 0.8745) and Pb at (0.1823, 0.1120, 0.7612).

Its energy of formation is -229 meV per atom. The density of states at the Fermi level is 49.25 states/eV per cell. As for the uncorrected energy: -4.38 eV/atom.

=====

No. 6
Below is Pr3Si2Ge2 after structural relaxation, with properties calculated at the GGA-PBE level.

The structure belongs to space group C2/m (No. 12); the cell edges are 11.1410, 4.2666 and 7.8176 Å and the angles 90.00°, 115.93° and 90.00°. The asymmetric unit holds Pr at (0.0000, 0.0000, 0.0000), Pr at (0.1840, 0.0000, 0.6409), Si at (0.1950, 0.5000, 0.9268) and Ge at (0.0313, 0.5000, 0.3356).

For the formation energy (no corrections), the calculation gives -0.746 eV per atom. The density of states at the Fermi level is 7.84 states/eV per cell. As for the uncorrected energy: -5.66 eV/atom.

=====

No. 7
Below is LuNpOsRh after structural relaxation, with properties calculated at the GGA-PBE level.

The structure belongs to space group F-43m (No. 216); the cell edges are 6.7420, 6.7420 and 6.7420 Å and the angles 90.00°, 90.00° and 90.00°. The asymmetric unit holds Lu at (0.0000, 0.0000, 0.0000), Np at (0.0000, 0.0000, 0.5000), Os at (0.2500, 0.2500, 0.2500) and Rh at (0.2500, 0.2500, 0.7500).

Its energy of formation is -332 meV per atom. The density of states at the Fermi level is 16.71 states/eV per cell. As for the uncorrected energy: -9.34 eV/atom.

=====

No. 8
Below is PrNd3Au2 after structural relaxation, with properties calculated at the GGA-PBE level.

The structure belongs to space group Pmc2_1 (No. 26); the cell edges are 3.9346, 10.1000 and 9.1730 Å and the angles 90.00°, 90.00° and 90.00°. The asymmetric unit holds Pr at (0.0000, 0.0763, 0.0000), Nd at (0.0000, 0.2822, 0.6502), Nd at (0.5000, 0.2187, 0.3280), Nd at (0.5000, 0.4265, 0.9790), Au at (0.0000, 0.4315, 0.2584) and Au at (0.5000, 0.0694, 0.7202).

Its energy of formation is -518 meV per atom. Its energy above the most stable polymorph in this dataset is 0.000 eV/f.u. The density of states at the Fermi level is 14.48 states/eV per cell. As for the uncorrected energy: -4.79 eV/atom.

=====

No. 9
Below is CaAs2PdBr after structural relaxation, with properties calculated at the GGA-PBE level.

The structure belongs to space group P4/mmm (No. 123); the cell edges are 4.8472, 4.8472 and 5.5106 Å and the angles 90.00°, 90.00° and 90.00°. The asymmetric unit holds Ca at (0.0000, 0.0000, 0.0000), As at (0.0000, 0.5000, 0.5000), Pd at (0.5000, 0.5000, 0.5000) and Br at (0.5000, 0.5000, 0.0000).

Its energy above the most stable polymorph in this dataset is 0.000 eV/f.u. For the formation energy (no corrections), the calculation gives -0.239 eV per atom. The density of states at the Fermi level is 4.89 states/eV per cell. As for the uncorrected energy: -3.87 eV/atom.

=====

No. 10
Below is Li2CaRe after structural relaxation, with properties calculated at the GGA-PBE level.

The structure belongs to space group Pm (No. 6); the cell edges are 2.6853, 4.6459 and 5.9732 Å and the angles 90.00°, 102.75° and 90.00°. The asymmetric unit holds Li at (0.0000, 0.0000, 0.0000), Li at (0.0854, 0.5000, 0.2379), Ca at (0.3374, 0.5000, 0.6971) and Re at (0.6993, 0.0000, 0.4285).

Its energy of formation is 550 meV per atom. Its energy above the most stable polymorph in this dataset is 0.308 eV/f.u. The density of states at the Fermi level is 2.48 states/eV per cell. As for the uncorrected energy: -4.02 eV/atom.

=====

No. 11
Below is CdTeWCl2 after structural relaxation, with properties calculated at the GGA-PBE level.

The structure belongs to space group P4/mmm (No. 123); the cell edges are 5.5201, 5.5201 and 5.3427 Å and the angles 90.00°, 90.00° and 90.00°. The asymmetric unit holds Cd at (0.0000, 0.0000, 0.0000), Te at (0.5000, 0.5000, 0.5000), W at (0.5000, 0.5000, 0.0000) and Cl at (0.0000, 0.5000, 0.5000).

For the formation energy (no corrections), the calculation gives 0.887 eV per atom. The density of states at the Fermi level is 1.98 states/eV per cell. As for the uncorrected energy: -3.25 eV/atom.

=====

No. 12
Below is CsK3Tl2Cl6 after structural relaxation, with properties calculated at the GGA-PBE level.

The structure belongs to space group C2/m (No. 12); the cell edges are 20.2024, 4.6097 and 9.2832 Å and the angles 90.00°, 103.76° and 90.00°. The asymmetric unit holds Cs at (0.0000, 0.0000, 0.0000), K at (0.0000, 0.0000, 0.5000), K at (0.1673, 0.5000, 0.8295), Tl at (0.1686, 0.5000, 0.3351), Cl at (0.0027, 0.5000, 0.7304), Cl at (0.1670, 0.0000, 0.5849) and Cl at (0.1736, 0.0000, 0.0809).

For the formation energy (no corrections), the calculation gives -1.639 eV per atom. The density of states at the Fermi level is 0.00 states/eV per cell. As for the uncorrected energy: -3.30 eV/atom.